[1]
Here is ErHfPa2As4 after structural relaxation from Alexandria via LeMat-Bulk. Energies are from PBE.

```
8
Lattice="-2.083 -0.350 3.441 -4.980 -3.538 -3.374 4.752 -4.402 2.429" Properties=species:S:1:pos:R:3 pbc="T T T"
Er -3.532 -1.944 0.034
Hf 0.000 0.000 0.000
Pa 1.335 -2.376 2.935
Pa -0.114 -3.970 -0.472
As -1.110 -2.066 1.487
As -1.201 -6.224 1.009
As 2.378 -4.213 1.011
As -2.606 -3.728 -1.956
```

Space group   P2/m
DFT formation energy   -1135 meV per atom
Raw total energy   -61.2 eV/cell
Magnetization   0.000 μB/f.u.
Volume   184 Å³/cell

[2]
Here is InReP2S after structural relaxation from Alexandria via LeMat-Bulk. Energies are from PBE.

```
5
Lattice="4.816 0.000 0.000 0.000 4.816 0.000 0.000 0.000 4.826" Properties=species:S:1:pos:R:3 pbc="T T T"
Re 2.408 2.408 2.413
S 0.000 0.000 2.413
P 0.000 2.408 0.000
P 2.408 0.000 0.000
In 0.000 0.000 0.000
```

Space group   P4/mmm
Uncorrected formation energy   200.0 kJ/mol of atoms
Raw total energy   -19.8 eV/cell
Magnetization   0.000 μB/f.u.
Volume   112 Å³/cell